Na7Hg2Au2: optimized geometry, PBE.

a = 8.145 Å, b = 9.390 Å, c = 7.974 Å
α = 90.00°, β = 106.93°, γ = 90.00°
Space group C2/m (No. 12)
One atom of each set of equivalent atoms:
Na 0.000 0.000 0.000 (multiplicity 2)
Na 0.183 0.000 0.454 (multiplicity 4)
Na 0.203 0.301 0.196 (multiplicity 8)
Hg 0.101 0.500 0.807 (multiplicity 4)
Au 0.000 0.291 0.500 (multiplicity 4)

Results
size of the total moment	0.00	μB/cell
electronic total energy	-1.691	eV/atom
energy above the lowest structure with this stoichiometry	0.0	kJ/mol of atoms
formation energy from the elements	-19.38	kJ per mole of atoms
volume	26.52	Å³ per atom